# 1
An optimized crystal structure of DyVN. Source: Alexandria via LeMat-Bulk, functional PBE-GGA.

Cell and atoms, written as CIF:
```
data_DyVN
_chemical_formula_sum 'Dy2 V2 N2'
_cell_length_a 4.0758
_cell_length_b 4.0758
_cell_length_c 7.4523
_cell_angle_alpha 90.00
_cell_angle_beta 90.00
_cell_angle_gamma 90.00
_space_group_name_H-M_alt 'I 4 m m'
_space_group_IT_number 107
_space_group_name_Hall 'I 4 -2'
loop_
_atom_site_label
_atom_site_fract_x
_atom_site_fract_y
_atom_site_fract_z
_atom_site_occupancy
Dy1 0.0000 0.0000 0.0000 1
V1 0.0000 0.0000 0.4734 1
N1 0.0000 0.0000 0.7000 1
```

Calculated values
The calculation puts the electronic total energy at -6.9876 eV per atom. The calculation puts the calculated volume at 123.8 Å³ per cell. As for the formation energy (no corrections): 361 meV per atom. The value obtained for the energy above the lowest structure with this stoichiometry is 1.143 eV/atom.


# 2
An optimized crystal structure of DyVN3. Source: Alexandria via LeMat-Bulk, functional PBE-GGA.

Cell and atoms, written as CIF:
```
data_DyVN3
_chemical_formula_sum 'Dy2 V2 N6'
_cell_length_a 5.5593
_cell_length_b 3.5951
_cell_length_c 7.8260
_cell_angle_alpha 90.00
_cell_angle_beta 110.12
_cell_angle_gamma 90.00
_space_group_name_H-M_alt 'P 1 21/m 1'
_space_group_IT_number 11
loop_
_space_group_symop_operation_xyz
'x,y,z'
'-x,-y,-z'
'-x,y+1/2,-z'
'x,-y+1/2,z'
loop_
_atom_site_label
_atom_site_fract_x
_atom_site_fract_y
_atom_site_fract_z
_atom_site_occupancy
Dy1 0.2374 0.2500 0.1879 1
V1 0.1527 0.2500 0.6715 1
N1 0.0083 0.7500 0.6171 1
N2 0.0730 0.2500 0.8783 1
N3 0.4809 0.2500 0.7326 1
```

Calculated values
The calculation puts the electronic total energy at -8.5803 eV per atom. The calculation puts the calculated volume at 146.9 Å³ per cell. As for the formation energy (no corrections): -841 meV per atom.


# 3
An optimized crystal structure of Dy2VN4. Source: Alexandria via LeMat-Bulk, functional PBE-GGA.

Cell and atoms, written as CIF:
```
data_Dy2VN4
_chemical_formula_sum 'Dy4 V2 N8'
_cell_length_a 5.6533
_cell_length_b 5.6547
_cell_length_c 6.5752
_cell_angle_alpha 90.00
_cell_angle_beta 107.92
_cell_angle_gamma 90.00
_space_group_name_H-M_alt 'P 1 21/m 1'
_space_group_IT_number 11
loop_
_space_group_symop_operation_xyz
'x,y,z'
'-x,-y,-z'
'-x,y+1/2,-z'
'x,-y+1/2,z'
loop_
_atom_site_label
_atom_site_fract_x
_atom_site_fract_y
_atom_site_fract_z
_atom_site_occupancy
Dy1 0.1815 0.2500 0.0344 1
Dy2 0.2571 0.2500 0.5590 1
V1 0.2656 0.7500 0.8054 1
N1 0.0441 0.5096 0.7487 1
N2 0.4536 0.7500 0.0830 1
N3 0.4769 0.7500 0.6496 1
```

Calculated values
The calculation puts the electronic total energy at -8.4389 eV per atom. The calculation puts the calculated volume at 200.0 Å³ per cell. As for the formation energy (no corrections): -1064 meV per atom.


# 4
An optimized crystal structure of DyVN. Source: Alexandria via LeMat-Bulk, functional PBE-GGA.

Cell and atoms, written as CIF:
```
data_DyVN
_chemical_formula_sum 'Dy4 V4 N4'
_cell_length_a 3.3245
_cell_length_b 14.3050
_cell_length_c 3.8162
_cell_angle_alpha 90.00
_cell_angle_beta 90.00
_cell_angle_gamma 90.00
_space_group_name_H-M_alt 'C m c m'
_space_group_IT_number 63
_space_group_name_Hall '-C 2c 2'
loop_
_atom_site_label
_atom_site_fract_x
_atom_site_fract_y
_atom_site_fract_z
_atom_site_occupancy
Dy1 0.0000 0.1671 0.2500 1
V1 0.0000 0.4666 0.2500 1
N1 0.0000 0.3323 0.2500 1
```

Calculated values
The calculation puts the electronic total energy at -8.1307 eV per atom. The calculation puts the calculated volume at 181.5 Å³ per cell. As for the formation energy (no corrections): -782 meV per atom. The value obtained for the energy above the lowest structure with this stoichiometry is 0.000 eV/atom.


# 5
An optimized crystal structure of Dy2VN. Source: Alexandria via LeMat-Bulk, functional PBE-GGA.

Cell and atoms, written as CIF:
```
data_Dy2VN
_chemical_formula_sum 'Dy6 V3 N3'
_cell_length_a 3.3416
_cell_length_b 3.3416
_cell_length_c 25.6915
_cell_angle_alpha 90.00
_cell_angle_beta 90.00
_cell_angle_gamma 120.00
_space_group_name_H-M_alt 'R -3 m'
_space_group_IT_number 166
_space_group_name_Hall '-R 3 2"'
loop_
_atom_site_label
_atom_site_fract_x
_atom_site_fract_y
_atom_site_fract_z
_atom_site_occupancy
Dy1 0.0000 0.0000 0.1134 1
V1 0.0000 0.0000 0.0000 1
N1 0.0000 0.0000 0.5000 1
```

Calculated values
The calculation puts the electronic total energy at -6.8986 eV per atom. The calculation puts the calculated volume at 248.4 Å³ per cell. As for the formation energy (no corrections): -237 meV per atom.


# 6
An optimized crystal structure of Dy2VWN5. Source: Alexandria via LeMat-Bulk, functional PBE-GGA.

Cell and atoms, written as CIF:
```
data_Dy2VWN5
_chemical_formula_sum 'Dy8 V4 W4 N20'
_cell_length_a 3.2241
_cell_length_b 12.9268
_cell_length_c 10.1519
_cell_angle_alpha 90.00
_cell_angle_beta 90.00
_cell_angle_gamma 90.00
_space_group_name_H-M_alt 'C m c 21'
_space_group_IT_number 36
loop_
_space_group_symop_operation_xyz
'x,y,z'
'-x,-y,z+1/2'
'-x,y,z'
'x,-y,z+1/2'
'x+1/2,y+1/2,z'
'-x+1/2,-y+1/2,z+1/2'
'-x+1/2,y+1/2,z'
'x+1/2,-y+1/2,z+1/2'
loop_
_atom_site_label
_atom_site_fract_x
_atom_site_fract_y
_atom_site_fract_z
_atom_site_occupancy
Dy1 0.0000 0.1053 0.0000 1
Dy2 0.0000 0.1444 0.6005 1
V1 0.0000 0.4731 0.7673 1
W1 0.0000 0.2186 0.3197 1
N1 0.0000 0.0490 0.3570 1
N2 0.0000 0.2812 0.9545 1
N3 0.0000 0.3182 0.6854 1
N4 0.0000 0.3688 0.3082 1
N5 0.0000 0.4901 0.0930 1
```

Calculated values
The calculation puts the electronic total energy at -9.2119 eV per atom. The calculation puts the calculated volume at 423.1 Å³ per cell. As for the formation energy (no corrections): -1112 meV per atom.


# 7
An optimized crystal structure of DyW3N6. Source: Alexandria via LeMat-Bulk, functional PBE-GGA.

Cell and atoms, written as CIF:
```
data_DyW3N6
_chemical_formula_sum 'Dy2 W6 N12'
_cell_length_a 3.0321
_cell_length_b 8.7278
_cell_length_c 8.7599
_cell_angle_alpha 72.34
_cell_angle_beta 89.48
_cell_angle_gamma 89.52
_space_group_name_H-M_alt 'P -1'
_space_group_IT_number 2
loop_
_space_group_symop_operation_xyz
'x,y,z'
'-x,-y,-z'
loop_
_atom_site_label
_atom_site_fract_x
_atom_site_fract_y
_atom_site_fract_z
_atom_site_occupancy
Dy1 0.2470 0.3052 0.0549 1
W1 0.2243 0.9219 0.1670 1
W2 0.2552 0.4819 0.6772 1
W3 0.2844 0.1463 0.4364 1
N1 0.2380 0.9150 0.3900 1
N2 0.2426 0.7381 0.7143 1
N3 0.2486 0.3877 0.4773 1
N4 0.2522 0.5331 0.1544 1
N5 0.2551 0.2407 0.7929 1
N6 0.2594 0.9104 0.9234 1
```

Calculated values
The calculation puts the electronic total energy at -9.8839 eV per atom. The calculation puts the calculated volume at 220.9 Å³ per cell. As for the formation energy (no corrections): -543 meV per atom.


# 8
An optimized crystal structure of DyW2N4. Source: Alexandria via LeMat-Bulk, functional PBE-GGA.

Cell and atoms, written as CIF:
```
data_DyW2N4
_chemical_formula_sum 'Dy4 W8 N16'
_cell_length_a 3.1410
_cell_length_b 10.0297
_cell_length_c 10.2214
_cell_angle_alpha 90.00
_cell_angle_beta 90.00
_cell_angle_gamma 90.00
_space_group_name_H-M_alt 'C m c m'
_space_group_IT_number 63
_space_group_name_Hall '-C 2c 2'
loop_
_atom_site_label
_atom_site_fract_x
_atom_site_fract_y
_atom_site_fract_z
_atom_site_occupancy
Dy1 0.0000 0.1270 0.2500 1
W1 0.0000 0.3821 0.0648 1
N1 0.0000 0.0000 0.0000 1
N2 0.0000 0.2646 0.6074 1
N3 0.0000 0.4373 0.2500 1
```

Calculated values
The calculation puts the electronic total energy at -9.8598 eV per atom. The calculation puts the calculated volume at 322.0 Å³ per cell. As for the formation energy (no corrections): -744 meV per atom.